Entry 1:
# Pr2Sm3Tl, relaxed, DFT PBE-GGA
# **Offset from the most stable computed form**: 0.003 eV/atom
data_Pr2Sm3Tl
_symmetry_space_group_name_H-M 'I m m a'
_symmetry_Int_Tables_number 74
_symmetry_space_group_name_Hall '-I 2b 2'
_cell_length_a 5.283
_cell_length_b 9.319
_cell_length_c 16.072
_cell_angle_alpha 90.00
_cell_angle_beta 90.00
_cell_angle_gamma 90.00
loop_
_atom_site_label
_atom_site_type_symbol
_atom_site_fract_x
_atom_site_fract_y
_atom_site_fract_z
_atom_site_occupancy
Pr1 Pr 0.000 0.250 0.027 1
Pr2 Pr 0.000 0.250 0.324 1
Sm1 Sm 0.000 0.000 0.500 1
Sm2 Sm 0.000 0.040 0.828 1
Tl1 Tl 0.000 0.250 0.646 1



Entry 2:
# Pr15Sm4Tl

An optimized crystal structure of Pr15Sm4Tl (PBE-GGA, Alexandria).

```
data_Pr15Sm4Tl
_symmetry_space_group_name_H-M 'P 4/m m m'
_symmetry_Int_Tables_number 123
_symmetry_space_group_name_Hall '-P 4 2'
_cell_length_a 5.165
_cell_length_b 5.165
_cell_length_c 26.188
_cell_angle_alpha 90.00
_cell_angle_beta 90.00
_cell_angle_gamma 90.00
loop_
_atom_site_label
_atom_site_type_symbol
_atom_site_fract_x
_atom_site_fract_y
_atom_site_fract_z
_atom_site_occupancy
Pr1 Pr 0.000 0.000 0.000 1
Pr2 Pr 0.000 0.000 0.197 1
Pr3 Pr 0.000 0.000 0.399 1
Pr4 Pr 0.000 0.500 0.096 1
Pr5 Pr 0.000 0.500 0.298 1
Pr6 Pr 0.000 0.500 0.500 1
Sm1 Sm 0.500 0.500 0.198 1
Sm2 Sm 0.500 0.500 0.400 1
Tl1 Tl 0.500 0.500 0.000 1
```



Entry 3:
# PrSm14Tl

An optimized crystal structure of PrSm14Tl (PBE-GGA, Alexandria).

```
data_PrSm14Tl
_symmetry_space_group_name_H-M 'A m m 2'
_symmetry_Int_Tables_number 38
_cell_length_a 10.220
_cell_length_b 10.170
_cell_length_c 10.170
_cell_angle_alpha 90.00
_cell_angle_beta 90.00
_cell_angle_gamma 90.00
loop_
_symmetry_equiv_pos_as_xyz
'x,y,z'
'-x,-y,z'
'-x,y,z'
'x,-y,z'
'x,y+1/2,z+1/2'
'-x,-y+1/2,z+1/2'
'-x,y+1/2,z+1/2'
'x,-y+1/2,z+1/2'
loop_
_atom_site_label
_atom_site_type_symbol
_atom_site_fract_x
_atom_site_fract_y
_atom_site_fract_z
_atom_site_occupancy
Pr1 Pr 0.000 0.000 0.000 1
Sm1 Sm 0.000 0.249 0.750 1
Sm2 Sm 0.247 0.000 0.251 1
Sm3 Sm 0.248 0.000 0.749 1
Sm4 Sm 0.248 0.249 0.500 1
Sm5 Sm 0.500 0.000 0.000 1
Sm6 Sm 0.500 0.000 0.500 1
Sm7 Sm 0.500 0.250 0.250 1
Tl1 Tl 0.000 0.000 0.500 1
```



Entry 4:
# Pr6Sm2Tl, relaxed, DFT PBE-GGA
# **Offset from the most stable computed form**: 0.000 eV/atom
data_Pr6Sm2Tl
_symmetry_space_group_name_H-M 'C 1 2/c 1'
_symmetry_Int_Tables_number 15
_cell_length_a 21.137
_cell_length_b 9.332
_cell_length_c 6.566
_cell_angle_alpha 90.00
_cell_angle_beta 107.98
_cell_angle_gamma 90.00
loop_
_symmetry_equiv_pos_as_xyz
'x,y,z'
'-x,-y,-z'
'-x,y,-z+1/2'
'x,-y,z+1/2'
'x+1/2,y+1/2,z'
'-x+1/2,-y+1/2,-z'
'-x+1/2,y+1/2,-z+1/2'
'x+1/2,-y+1/2,z+1/2'
loop_
_atom_site_label
_atom_site_type_symbol
_atom_site_fract_x
_atom_site_fract_y
_atom_site_fract_z
_atom_site_occupancy
Pr1 Pr 0.079 0.072 0.444 1
Pr2 Pr 0.079 0.427 0.215 1
Pr3 Pr 0.168 0.250 0.917 1
Sm1 Sm 0.250 0.077 0.413 1
Tl1 Tl 0.000 0.251 0.750 1



Entry 5:
# Pr3Sm2Tl, relaxed, DFT PBE-GGA
# **Offset from the most stable computed form**: 0.000 eV/atom
data_Pr3Sm2Tl
_symmetry_space_group_name_H-M 'C m m m'
_symmetry_Int_Tables_number 65
_symmetry_space_group_name_Hall '-C 2 2'
_cell_length_a 5.037
_cell_length_b 15.640
_cell_length_c 5.001
_cell_angle_alpha 90.00
_cell_angle_beta 90.00
_cell_angle_gamma 90.00
loop_
_atom_site_label
_atom_site_type_symbol
_atom_site_fract_x
_atom_site_fract_y
_atom_site_fract_z
_atom_site_occupancy
Pr1 Pr 0.000 0.000 0.000 1
Pr2 Pr 0.000 0.334 0.000 1
Sm1 Sm 0.000 0.163 0.500 1
Tl1 Tl 0.000 0.500 0.500 1



Entry 6:
# PrSmTl4, relaxed, DFT PBE-GGA
# **Offset from the most stable computed form**: 0.138 eV/atom
data_PrSmTl4
_symmetry_space_group_name_H-M 'F -4 3 m'
_symmetry_Int_Tables_number 216
_symmetry_space_group_name_Hall 'F -4 2 3'
_cell_length_a 8.858
_cell_length_b 8.858
_cell_length_c 8.858
_cell_angle_alpha 90.00
_cell_angle_beta 90.00
_cell_angle_gamma 90.00
loop_
_atom_site_label
_atom_site_type_symbol
_atom_site_fract_x
_atom_site_fract_y
_atom_site_fract_z
_atom_site_occupancy
Pr1 Pr 0.000 0.000 0.000 1
Sm1 Sm 0.250 0.250 0.750 1
Tl1 Tl 0.125 0.125 0.375 1



| no. | electronic total energy (eV/atom) |
| --- | --- |
| 1 | -4.446 |
| 2 | -4.672 |
| 3 | -4.590 |
| 4 | -4.517 |
| 5 | -4.466 |
| 6 | -3.304 |